Computed, not measured: a relaxed Bi2Cl2F crystal at the PBE level of DFT.

Calculated values
Volume (Å³/f.u.): 124.24
Size of the total moment (μB/atom): 0.000
Uncorrected formation energy (eV per atom): -0.410
Density of states at the Fermi level (states/eV/atom): 0.27
Theoretical density (g/cm³): 6.79

Cell lengths 7.342, 7.342, 4.610 Å; angles 90.00, 90.00, 90.00 degrees
Fractional positions:
Bi 0.272 0.228 0.500
Bi 0.772 0.272 0.500
Bi 0.228 0.728 0.500
Cl 0.143 0.357 0.000
Cl 0.643 0.143 0.000
Cl 0.357 0.857 0.000
F 0.500 0.500 0.000
Cl 0.857 0.643 0.000
Bi 0.728 0.772 0.500
F 0.000 0.000 0.000

Computed, not measured: a relaxed GaBiCl2F crystal at the PBE level of DFT.

Calculated values
Volume (Å³/f.u.): 116.18
Size of the total moment (μB/atom): 0.134
Uncorrected formation energy (eV per atom): -0.725
Density of states at the Fermi level (states/eV/atom): 0.68
Theoretical density (g/cm³): 5.27

Cell lengths 5.415, 3.962, 5.415 Å; angles 90.00, 90.00, 90.00 degrees
Site moments in Bohr magnetons follow the coordinates.
Fractional positions:
Cl 0.500 0.000 0.000  0.01
F 0.000 0.500 0.000  0.00
Cl 0.000 0.000 0.500  0.01
Ga 0.000 0.000 0.000  0.00
Bi 0.500 0.500 0.500  0.43

Computed, not measured: a relaxed K6BiH3Cl8F4 crystal at the PBE level of DFT.

Calculated values
Volume (Å³/f.u.): 548.83
Size of the total moment (μB/atom): 0.000
Final energy (eV per atom): -3.77
Density of states at the Fermi level (states/eV/atom): 0.00
Theoretical density (g/cm³): 2.44

Cell lengths 9.231, 9.231, 14.876 Å; angles 90.00, 90.00, 120.00 degrees
Fractional positions:
K 0.179 0.821 0.254
H 0.580 0.160 0.255
Cl 0.333 0.667 0.398
Cl 0.667 0.333 0.898
Cl 0.720 0.860 0.610
K 0.000 0.500 0.004
Cl 0.860 0.720 0.110
F 0.034 0.517 0.756
Cl 0.140 0.860 0.898
Cl 0.667 0.333 0.611
Bi 0.000 0.000 0.504
F 0.483 0.966 0.756
Cl 0.140 0.280 0.610
F 0.333 0.667 0.755
H 0.420 0.580 0.755
Cl 0.280 0.140 0.110
Cl 0.140 0.280 0.898
K 0.500 0.500 0.504
K 0.821 0.642 0.754
K 0.642 0.821 0.254
K 0.500 0.000 0.004
H 0.840 0.420 0.255
K 0.500 0.500 0.004
K 0.358 0.179 0.754
K 0.500 0.000 0.504
F 0.966 0.483 0.256
F 0.517 0.483 0.256
Cl 0.280 0.140 0.398
F 0.483 0.517 0.756
K 0.821 0.179 0.754
Cl 0.860 0.140 0.398
Cl 0.720 0.860 0.898
H 0.420 0.840 0.755
F 0.667 0.333 0.255
Bi 0.000 0.000 0.004
F 0.517 0.034 0.256
Cl 0.860 0.720 0.398
K 0.179 0.358 0.254
H 0.580 0.420 0.255
Cl 0.140 0.860 0.610
K 0.000 0.500 0.504
Cl 0.860 0.140 0.110
Cl 0.333 0.667 0.111
H 0.160 0.580 0.755

Computed, not measured: a relaxed HgBiClF2 crystal at the PBE level of DFT.

Calculated values
Volume (Å³/f.u.): 119.26
Size of the total moment (μB/atom): 0.000
Uncorrected formation energy (eV per atom): -1.409
Theoretical density (g/cm³): 6.73

Cell lengths 4.661, 4.661, 5.488 Å; angles 90.00, 90.00, 90.00 degrees
Fractional positions:
Cl 0.000 0.000 0.500
Bi 0.000 0.000 0.000
F 0.000 0.500 0.000
F 0.500 0.000 0.000
Hg 0.500 0.500 0.500

Computed, not measured: a relaxed HgBiCl2F crystal at the PBE level of DFT.

Calculated values
Volume (Å³/f.u.): 139.47
Size of the total moment (μB/atom): 0.000
Uncorrected formation energy (eV per atom): -1.042
Density of states at the Fermi level (states/eV/atom): 0.07
Theoretical density (g/cm³): 5.95

Cell lengths 5.503, 5.503, 4.605 Å; angles 90.00, 90.00, 90.00 degrees
Fractional positions:
Cl 0.000 0.500 0.000
Bi 0.000 0.000 0.000
Cl 0.500 0.000 0.000
F 0.000 0.000 0.500
Hg 0.500 0.500 0.500

Computed, not measured: a relaxed K2BiCl3F3 crystal at the PBE level of DFT.

Calculated values
Volume (Å³/f.u.): 202.30
Size of the total moment (μB/atom): 0.117
Uncorrected formation energy (eV per atom): -1.773
Density of states at the Fermi level (states/eV/atom): 0.81
Theoretical density (g/cm³): 3.70

Cell lengths 3.626, 8.027, 8.027 Å; angles 120.00, 90.00, 90.00 degrees
Site moments in Bohr magnetons follow the coordinates.
Fractional positions:
K 0.500 0.333 0.667  0.00
Cl 0.000 0.625 0.625  0.22
Bi 0.000 0.000 0.000  0.02
Cl 0.000 0.375 0.000  0.22
F 0.500 0.000 0.805  0.05
Cl 0.000 0.000 0.375  0.22
F 0.500 0.195 0.195  0.05
F 0.500 0.805 0.000  0.05
K 0.500 0.667 0.333  0.00